This record from the Open Quantum Materials Database describes a relaxed structure of NdSnNO. The functional is GGA-PBE.

abc: 4.277 4.277 7.763
angles: 90.00 90.00 90.00
Space group P4/nmm (No. 129, origin choice 2)
Asymmetric unit:
Nd: 0.250 0.250 0.132 (multiplicity 2)
Sn: 0.250 0.750 0.500 (multiplicity 2)
N: 0.250 0.250 0.634 (multiplicity 2)
O: 0.250 0.750 0.000 (multiplicity 2)

- distance to the lowest polymorph of the same formula (meV per atom) = 509
- final energy (eV per atom) = -6.555
- total moment (Bohr magnetons per cell) = 0.00


This record from the Open Quantum Materials Database describes a relaxed structure of NdSnNO. The functional is GGA-PBE.

abc: 4.046 5.853 6.396
angles: 90.00 90.00 90.00
Space group Pmc2_1 (No. 26)
Asymmetric unit:
Nd: 0.000 0.208 0.000 (multiplicity 2)
Sn: 0.500 0.274 0.467 (multiplicity 2)
N: 0.500 0.403 0.107 (multiplicity 2)
O: 0.000 0.149 0.650 (multiplicity 2)

- distance to the lowest polymorph of the same formula (meV per atom) = 347
- final energy (eV per atom) = -6.717
- total moment (Bohr magnetons per cell) = 0.01


This record from the Open Quantum Materials Database describes a relaxed structure of NdSnNO. The functional is GGA-PBE.

abc: 4.955 4.955 5.302
angles: 90.00 90.00 90.00
Space group P4/nmm (No. 129, origin choice 2)
Asymmetric unit:
Nd: 0.250 0.750 0.000 (multiplicity 2)
Sn: 0.250 0.250 0.497 (multiplicity 2)
N: 0.250 0.250 0.895 (multiplicity 2)
O: 0.250 0.750 0.500 (multiplicity 2)

- distance to the lowest polymorph of the same formula (meV per atom) = 353
- final energy (eV per atom) = -6.711
- total moment (Bohr magnetons per cell) = 0.01


This record from the Open Quantum Materials Database describes a relaxed structure of SrNdNO. The functional is GGA-PBE.

abc: 6.967 8.137 6.059
angles: 90.00 90.00 90.00
Space group Pca2_1 (No. 29)
Asymmetric unit:
Sr: 0.088 0.122 0.000 (multiplicity 4)
Nd: 0.086 0.619 0.985 (multiplicity 4)
N: 0.059 0.154 0.581 (multiplicity 4)
O: 0.092 0.612 0.601 (multiplicity 4)

- distance to the lowest polymorph of the same formula (meV per atom) = 167
- final energy (eV per atom) = -6.743
- total moment (Bohr magnetons per cell) = 0.00


This record from the Open Quantum Materials Database describes a relaxed structure of SrNdNO. The functional is GGA-PBE.

abc: 3.951 7.113 6.039
angles: 90.00 90.00 90.00
Space group Pmc2_1 (No. 26)
Asymmetric unit:
Sr: 0.000 0.161 0.000 (multiplicity 2)
Nd: 0.500 0.339 0.511 (multiplicity 2)
N: 0.000 0.186 0.418 (multiplicity 2)
O: 0.500 0.348 0.894 (multiplicity 2)

- distance to the lowest polymorph of the same formula (meV per atom) = 74
- final energy (eV per atom) = -6.836
- total moment (Bohr magnetons per cell) = 0.00


This record from the Open Quantum Materials Database describes a relaxed structure of SrNdNO. The functional is GGA-PBE.

abc: 4.221 4.221 8.603
angles: 90.00 90.00 90.00
Space group P4/nmm (No. 129, origin choice 2)
Asymmetric unit:
Sr: 0.250 0.750 0.000 (multiplicity 2)
Nd: 0.250 0.250 0.378 (multiplicity 2)
N: 0.250 0.250 0.841 (multiplicity 2)
O: 0.250 0.750 0.500 (multiplicity 2)

- distance to the lowest polymorph of the same formula (meV per atom) = 652
- final energy (eV per atom) = -6.257
- total moment (Bohr magnetons per cell) = 0.00


This record from the Open Quantum Materials Database describes a relaxed structure of SrNdNO. The functional is GGA-PBE.

abc: 4.331 7.159 5.150
angles: 90.00 90.00 90.00
Space group Pmc2_1 (No. 26)
Asymmetric unit:
Sr: 0.000 0.171 0.000 (multiplicity 2)
Nd: 0.500 0.333 0.500 (multiplicity 2)
N: 0.500 0.347 0.995 (multiplicity 2)
O: 0.000 0.184 0.499 (multiplicity 2)

- distance to the lowest polymorph of the same formula (meV per atom) = 43
- final energy (eV per atom) = -6.866
- total moment (Bohr magnetons per cell) = 0.00


This record from the Open Quantum Materials Database describes a relaxed structure of SrNdNO. The functional is GGA-PBE.

abc: 5.127 5.127 5.195
angles: 90.00 90.00 90.00
Space group P4/nmm (No. 129, origin choice 2)
Asymmetric unit:
Sr: 0.250 0.250 0.000 (multiplicity 2)
Nd: 0.250 0.750 0.500 (multiplicity 2)
N: 0.250 0.250 0.499 (multiplicity 2)
O: 0.250 0.750 0.000 (multiplicity 2)

- distance to the lowest polymorph of the same formula (meV per atom) = 7
- final energy (eV per atom) = -6.903
- total moment (Bohr magnetons per cell) = 0.00


This record from the Open Quantum Materials Database describes a relaxed structure of SrNdNO. The functional is GGA-PBE.

abc: 7.243 8.545 5.173
angles: 90.00 90.00 90.00
Space group Pca2_1 (No. 29)
Asymmetric unit:
Sr: 0.083 0.126 0.000 (multiplicity 4)
Nd: 0.081 0.624 0.999 (multiplicity 4)
N: 0.090 0.615 0.505 (multiplicity 4)
O: 0.076 0.130 0.502 (multiplicity 4)

- distance to the lowest polymorph of the same formula (meV per atom) = 0
- final energy (eV per atom) = -6.910
- total moment (Bohr magnetons per cell) = 0.00


This record from the Open Quantum Materials Database describes a relaxed structure of NdTaNO. The functional is GGA-PBE.

abc: 4.492 4.492 5.931
angles: 90.00 90.00 90.00
Space group P4/nmm (No. 129, origin choice 2)
Asymmetric unit:
Nd: 0.250 0.750 0.000 (multiplicity 2)
Ta: 0.250 0.250 0.478 (multiplicity 2)
N: 0.250 0.250 0.160 (multiplicity 2)
O: 0.250 0.750 0.500 (multiplicity 2)

- distance to the lowest polymorph of the same formula (meV per atom) = 646
- final energy (eV per atom) = -8.619
- total moment (Bohr magnetons per cell) = 0.01


This record from the Open Quantum Materials Database describes a relaxed structure of NdTaNO. The functional is GGA-PBE.

abc: 6.357 7.726 5.235
angles: 90.00 90.00 90.00
Space group Pca2_1 (No. 29)
Asymmetric unit:
Nd: 0.059 0.144 0.000 (multiplicity 4)
Ta: 0.125 0.654 0.003 (multiplicity 4)
N: 0.063 0.152 0.501 (multiplicity 4)
O: 0.078 0.542 0.633 (multiplicity 4)

- distance to the lowest polymorph of the same formula (meV per atom) = 320
- final energy (eV per atom) = -8.945
- total moment (Bohr magnetons per cell) = 0.04


This record from the Open Quantum Materials Database describes a relaxed structure of NdTaNO. The functional is GGA-PBE.

abc: 4.157 4.157 8.120
angles: 90.00 90.00 90.00
Space group P4/nmm (No. 129, origin choice 2)
Asymmetric unit:
Nd: 0.250 0.250 0.137 (multiplicity 2)
Ta: 0.250 0.750 0.500 (multiplicity 2)
N: 0.250 0.250 0.469 (multiplicity 2)
O: 0.250 0.750 0.000 (multiplicity 2)

- distance to the lowest polymorph of the same formula (meV per atom) = 0
- final energy (eV per atom) = -9.265
- total moment (Bohr magnetons per cell) = 0.02


This record from the Open Quantum Materials Database describes a relaxed structure of NdTaNO. The functional is GGA-PBE.

abc: 4.063 5.358 5.490
angles: 90.00 90.00 90.00
Space group Pmc2_1 (No. 26)
Asymmetric unit:
Nd: 0.000 0.228 0.000 (multiplicity 2)
Ta: 0.500 0.270 0.501 (multiplicity 2)
N: 0.500 0.000 0.252 (multiplicity 2)
O: 0.000 0.294 0.502 (multiplicity 2)

- distance to the lowest polymorph of the same formula (meV per atom) = 130
- final energy (eV per atom) = -9.134
- total moment (Bohr magnetons per cell) = 0.01


This record from the Open Quantum Materials Database describes a relaxed structure of NdTaNO. The functional is GGA-PBE.

abc: 5.248 4.085 5.446
angles: 90.00 90.00 90.00
Space group Pmma (No. 51)
Asymmetric unit:
Nd: 0.250 0.000 0.231 (multiplicity 2)
Ta: 0.250 0.500 0.706 (multiplicity 2)
N: 0.250 0.000 0.694 (multiplicity 2)
O: 0.000 0.500 0.000 (multiplicity 2)

- distance to the lowest polymorph of the same formula (meV per atom) = 97
- final energy (eV per atom) = -9.168
- total moment (Bohr magnetons per cell) = 0.01


This record from the Open Quantum Materials Database describes a relaxed structure of NdTcNO. The functional is GGA-PBE.

abc: 3.824 5.447 5.195
angles: 90.00 90.00 90.00
Space group Pmc2_1 (No. 26)
Asymmetric unit:
Nd: 0.000 0.207 0.000 (multiplicity 2)
Tc: 0.500 0.326 0.499 (multiplicity 2)
N: 0.000 0.329 0.499 (multiplicity 2)
O: 0.500 0.003 0.752 (multiplicity 2)

- distance to the lowest polymorph of the same formula (meV per atom) = 103
- final energy (eV per atom) = -8.383
- total moment (Bohr magnetons per cell) = 0.00


This record from the Open Quantum Materials Database describes a relaxed structure of NdTcNO. The functional is GGA-PBE.

abc: 3.814 3.814 8.068
angles: 90.00 90.00 90.00
Space group P4/nmm (No. 129, origin choice 2)
Asymmetric unit:
Nd: 0.250 0.250 0.157 (multiplicity 2)
Tc: 0.250 0.750 0.500 (multiplicity 2)
N: 0.250 0.250 0.616 (multiplicity 2)
O: 0.250 0.750 0.000 (multiplicity 2)

- distance to the lowest polymorph of the same formula (meV per atom) = 0
- final energy (eV per atom) = -8.486
- total moment (Bohr magnetons per cell) = 0.04


This record from the Open Quantum Materials Database describes a relaxed structure of NdTcNO. The functional is GGA-PBE.

abc: 4.203 5.010 5.363
angles: 90.00 90.00 90.00
Space group Pmc2_1 (No. 26)
Asymmetric unit:
Nd: 0.000 0.239 0.000 (multiplicity 2)
Tc: 0.500 0.262 0.497 (multiplicity 2)
N: 0.500 0.012 0.755 (multiplicity 2)
O: 0.000 0.287 0.467 (multiplicity 2)

- distance to the lowest polymorph of the same formula (meV per atom) = 260
- final energy (eV per atom) = -8.227
- total moment (Bohr magnetons per cell) = 0.01


This record from the Open Quantum Materials Database describes a relaxed structure of NdTcNO. The functional is GGA-PBE.

abc: 6.382 7.236 5.067
angles: 90.00 90.00 90.00
Space group Pca2_1 (No. 29)
Asymmetric unit:
Nd: 0.066 0.180 0.000 (multiplicity 4)
Tc: 0.136 0.664 0.991 (multiplicity 4)
N: 0.047 0.135 0.490 (multiplicity 4)
O: 0.107 0.507 0.659 (multiplicity 4)

- distance to the lowest polymorph of the same formula (meV per atom) = 382
- final energy (eV per atom) = -8.104
- total moment (Bohr magnetons per cell) = 0.02


This record from the Open Quantum Materials Database describes a relaxed structure of NdTcNO. The functional is GGA-PBE.

abc: 4.904 4.904 4.574
angles: 90.00 90.00 90.00
Space group P4/nmm (No. 129, origin choice 2)
Asymmetric unit:
Nd: 0.250 0.750 0.000 (multiplicity 2)
Tc: 0.250 0.250 0.500 (multiplicity 2)
N: 0.250 0.250 0.002 (multiplicity 2)
O: 0.250 0.750 0.500 (multiplicity 2)

- distance to the lowest polymorph of the same formula (meV per atom) = 637
- final energy (eV per atom) = -7.849
- total moment (Bohr magnetons per cell) = 5.09


This record from the Open Quantum Materials Database describes a relaxed structure of NdTeNO. The functional is GGA-PBE.

abc: 5.893 9.160 5.782
angles: 90.00 90.00 90.00
Space group Pca2_1 (No. 29)
Asymmetric unit:
Nd: 0.027 0.121 0.000 (multiplicity 4)
Te: 0.055 0.397 0.453 (multiplicity 4)
N: 0.218 0.298 0.723 (multiplicity 4)
O: 0.248 0.978 0.250 (multiplicity 4)

- distance to the lowest polymorph of the same formula (meV per atom) = 0
- final energy (eV per atom) = -6.680
- total moment (Bohr magnetons per cell) = 0.00